Entry 1:
The following is a DFT calculation (PBE) of a geometry-optimized Y2MgSb structure.

a b c (Å): 5.357 5.357 5.357
angles (deg): 60.00 60.00 60.00
Positions (direct):
Y 0.000 0.000 0.000
Sb 0.750 0.750 0.750
Mg 0.500 0.500 0.500
Y 0.250 0.250 0.250

Energy above the lowest structure with this stoichiometry ... 0.541 eV/atom
M_tot ... 0.002 μB/f.u.
DOS at the Fermi energy ... 6.2 states/eV per cell
Formation energy without anion corrections ... -0.053 eV/atom


Entry 2:
The following is a DFT calculation (PBE) of a geometry-optimized AsSeO4 structure.

a b c (Å): 5.246 5.208 7.636
angles (deg): 109.16 109.32 92.13
Positions (direct):
O 0.924 0.180 0.936
As 0.790 0.040 0.079
O 0.321 0.946 0.562
Se 0.548 0.298 0.596
O 0.259 0.384 0.438
O 0.489 0.245 0.064
O 0.076 0.820 0.064
O 0.741 0.616 0.562
As 0.210 0.960 0.921
Se 0.452 0.702 0.404
O 0.679 0.054 0.438
O 0.511 0.755 0.936

Energy above the lowest structure with this stoichiometry ... 0.000 eV/atom
M_tot ... 0.000 μB/f.u.
Formation energy without anion corrections ... -0.710 eV/atom


Entry 3:
The following is a DFT calculation (PBE) of a geometry-optimized Tb2PmHf structure.

a b c (Å): 4.005 4.005 7.418
angles (deg): 90.00 90.00 90.00
Positions (direct):
Pm 0.500 0.500 0.500
Tb 0.000 0.000 0.217
Hf 0.500 0.500 0.000
Tb 0.000 0.000 0.783

Energy above the lowest structure with this stoichiometry ... 0.105 eV/atom
ΔE_f ... 0.23 eV per atom
M_tot ... 0.000 μB/f.u.
DOS at the Fermi energy ... 8.1 states/eV per cell